Entry 1:
PBE K2Co2Ag, optimized geometry; size of the total moment = 3.4 μB/f.u.; N(E_F) = 4.38 states/eV/f.u.
1.0
9.659 0.000 0.000
0.000 9.659 0.000
0.000 0.000 2.790
K Co Ag
4 4 2
Direct
0.206 0.294 0.000
0.294 0.794 0.000
0.706 0.206 0.000
0.794 0.706 0.000
0.076 0.576 0.500
0.424 0.076 0.500
0.576 0.924 0.500
0.924 0.424 0.500
0.000 0.000 0.500
0.500 0.500 0.500

***

Entry 2:
PBE K3CoAg, optimized geometry; size of the total moment = 1.1 μB/f.u.; N(E_F) = 6.49 states/eV/f.u.
1.0
6.131 0.000 0.000
0.000 6.131 0.000
0.000 0.000 6.131
K Co Ag
3 1 1
Direct
0.000 0.000 0.500
0.000 0.500 0.000
0.500 0.000 0.000
0.000 0.000 0.000
0.500 0.500 0.500

***

Entry 3:
PBE KCoAg2, optimized geometry; size of the total moment = 1.8 μB/f.u.; N(E_F) = 4.61 states/eV/f.u.
1.0
-2.695 2.695 8.670
2.695 -2.695 8.670
2.695 2.695 -8.670
K Co Ag
2 2 4
Direct
0.375 0.625 0.750
0.625 0.375 0.250
0.125 0.875 0.250
0.875 0.125 0.750
0.000 0.000 0.000
0.000 0.000 0.500
0.000 0.500 0.000
0.500 0.000 0.500

***

Number 1: ΔH_f (0 K) 4.55 eV/f.u.. Number 2: ΔH_f (0 K) 3.71 eV/f.u.. Number 3: ΔH_f (0 K) 2.60 eV/f.u..